Density functional theory data (PBE-GGA) for a relaxed Zr5CoSb3 crystal.

a b c (Å): 8.6466 8.6466 5.8055
angles (deg): 90.00 90.00 120.00
Space group P6_3/mcm (No. 193)
Asymmetric unit:
1 Zr 0.0000 0.2508 0.2500 [6 per cell]
2 Zr 0.3333 0.6667 0.0000 [4 per cell]
3 Co 0.0000 0.0000 0.0000 [2 per cell]
4 Sb 0.0000 0.3917 0.7500 [6 per cell]

Calculated values
ΔE_f (raw) (meV/atom): -669
V (Å³ per atom): 20.9
Raw total energy (eV per formula unit): -68.2
D(E_F) (states/eV per atom): 0.93

Density functional theory data (PBE-GGA) for a relaxed ZrCoSb4 crystal.

a b c (Å): 8.519 8.519 8.519
angles (deg): 90.00 90.00 90.00
Space group F-43m (No. 216)
Asymmetric unit:
1 Zr 0.000 0.000 0.000 [4 per cell]
2 Co 0.250 0.250 0.750 [4 per cell]
3 Sb 0.125 0.125 0.375 [16 per cell]

Calculated values
ΔE_f (raw) (meV/atom): 745
V (Å³ per atom): 25.8
Raw total energy (eV per formula unit): -27.7
D(E_F) (states/eV per atom): 1.33

Density functional theory data (PBE-GGA) for a relaxed Zr2CoSb crystal.

a b c (Å): 7.466 7.466 5.898
angles (deg): 90.00 90.00 90.00
Space group I-42d (No. 122)
Asymmetric unit:
1 Zr 0.194 0.250 0.125 [8 per cell]
2 Co 0.000 0.000 0.000 [4 per cell]
3 Sb 0.000 0.000 0.500 [4 per cell]

Calculated values
ΔE_f (raw) (meV/atom): -165
V (Å³ per atom): 20.5
Raw total energy (eV per formula unit): -29.0
D(E_F) (states/eV per atom): 0.93

Density functional theory data (PBE-GGA) for a relaxed Zr2CoSb crystal.

a b c (Å): 4.598 4.737 7.282
angles (deg): 90.00 90.00 90.00
Space group Cmm2 (No. 35)
Asymmetric unit:
1 Zr 0.000 0.000 0.000 [2 per cell]
2 Zr 0.000 0.500 0.302 [2 per cell]
3 Co 0.000 0.500 0.800 [2 per cell]
4 Sb 0.000 0.000 0.590 [2 per cell]

Calculated values
ΔE_f (raw) (meV/atom): -155
V (Å³ per atom): 19.8
Raw total energy (eV per formula unit): -28.9
D(E_F) (states/eV per atom): 1.08

Density functional theory data (PBE-GGA) for a relaxed Zr2Co2Sb crystal.

a b c (Å): 7.113 7.113 3.383
angles (deg): 90.00 90.00 90.00
Space group P4/mbm (No. 127)
Asymmetric unit:
1 Zr 0.169 0.331 0.000 [4 per cell]
2 Co 0.127 0.627 0.500 [4 per cell]
3 Sb 0.000 0.000 0.500 [2 per cell]

Calculated values
ΔE_f (raw) (meV/atom): -415
Energy above the most stable polymorph in this dataset (meV per atom): 0
V (Å³ per atom): 17.1
Raw total energy (eV per formula unit): -37.5
D(E_F) (states/eV per atom): 1.17

Density functional theory data (PBE-GGA) for a relaxed ZrCo2Sb crystal.

a b c (Å): 3.207 3.945 5.517
angles (deg): 90.00 90.00 90.00
Space group Pmmm (No. 47)
Asymmetric unit:
1 Zr 0.000 0.000 0.000 [1 per cell]
2 Co 0.500 0.500 0.210 [2 per cell]
3 Sb 0.500 0.000 0.500 [1 per cell]

Calculated values
ΔE_f (raw) (meV/atom): -82
V (Å³ per atom): 17.5
Raw total energy (eV per formula unit): -27.2
D(E_F) (states/eV per atom): 1.24

Question: Number 3 is which compound?
Answer: Zr2CoSb

Question: The highest V belongs to which entry?
Answer: ZrCoSb4

Question: Which value of D(E_F) does entry 6 give?
Answer: 1.24 states/eV per atom